# MnCdRh2

A relaxed MnCdRh2 crystal (PBE-GGA, Alexandria).

Cell and atoms, written as extended XYZ:
```
4
Lattice="3.5275 0.0000 0.0000 0.0000 4.1775 0.0000 0.0000 0.0000 4.1775" Properties=species:S:1:pos:R:3 pbc="T T T"
Mn 1.7637 0.0000 2.0888
Rh 0.0000 2.0888 2.0888
Rh 0.0000 0.0000 0.0000
Cd 1.7637 2.0888 0.0000
```

Calculated values
Size of the total moment, μB/cell: 3.481
DFT formation energy, eV/atom: -0.057
Electronic total energy, eV/atom: -6.254
Crystal system: tetragonal

# Mn2CdRh

A relaxed Mn2CdRh crystal (PBE-GGA, Alexandria).

Cell and atoms, written as extended XYZ:
```
4
Lattice="5.1285 -0.0338 0.3392 4.1801 2.9713 0.3392 1.3689 0.4320 4.2216" Properties=species:S:1:pos:R:3 pbc="T T T"
Mn 0.0521 0.0164 0.0078
Mn 8.0776 2.5490 3.6043
Cd 2.6271 0.8290 1.2029
Rh 5.2595 1.6597 2.5350
```

Calculated values
Size of the total moment, μB/cell: 7.898
DFT formation energy, eV/atom: 0.141
Electronic total energy, eV/atom: -6.510
Crystal system: monoclinic

# MnCdRh2

A relaxed MnCdRh2 crystal (PBE-GGA, Alexandria).

Cell and atoms, written as extended XYZ:
```
4
Lattice="-0.5896 -4.0183 -7.7847 2.2742 -3.8136 -7.5751 0.8938 -6.0142 -6.3346" Properties=species:S:1:pos:R:3 pbc="T T T"
Cd 0.6446 -3.4615 -5.4236
Mn 1.9338 -10.3846 -16.2708
Rh 0.0225 -0.1210 -0.1897
Rh 1.2667 -6.8020 -10.6575
```

Calculated values
Size of the total moment, μB/cell: 3.357
DFT formation energy, eV/atom: -0.031
Electronic total energy, eV/atom: -6.228
Crystal system: trigonal

# Mn2CdRh

A relaxed Mn2CdRh crystal (PBE-GGA, Alexandria).

Cell and atoms, written as extended XYZ:
```
4
Lattice="-0.9050 0.5201 3.9717 3.7055 -1.4347 1.0322 1.3925 3.4953 -0.1405" Properties=species:S:1:pos:R:3 pbc="T T T"
Cd 2.5490 1.0303 0.4459
Rh 0.2437 2.0077 1.9156
Mn 0.0000 0.0000 0.0000
Mn 1.4003 -0.4573 2.5019
```

Calculated values
Size of the total moment, μB/cell: 8.286
DFT formation energy, eV/atom: 0.102
Electronic total energy, eV/atom: -6.550
Crystal system: tetragonal